[1]
Density functional theory data (PBE) for a relaxed structure of NaAcCdSi.

## Properties
Total DFT energy (no corrections), eV for the cell shown: -12.444
M_tot, μB/atom: 0.000
SG: F-43m

Unit cell a=5.391 b=5.391 c=5.391 alpha=60.00 beta=60.00 gamma=60.00
Fractional coordinates of all 4 atoms:
Si  0.750  0.750  0.750
Na  0.500  0.500  0.500
Cd  0.250  0.250  0.250
Ac  0.000  0.000  0.000



[2]
Density functional theory data (PBE) for a relaxed structure of Na2AcCd2Sn2.

## Properties
Total DFT energy (no corrections), eV for the cell shown: -19.055
M_tot, μB/atom: 0.000
SG: R-3m
Formation energy from the elements, kJ/mol of formula units: -238.6

Unit cell a=4.934 b=4.934 c=9.637 alpha=75.17 beta=75.17 gamma=60.00
Fractional coordinates of all 7 atoms:
Sn  0.737  0.737  0.789
Sn  0.263  0.263  0.211
Na  0.856  0.856  0.431
Na  0.144  0.144  0.569
Cd  0.431  0.431  0.706
Cd  0.569  0.569  0.294
Ac  0.000  0.000  0.000



[3]
Density functional theory data (PBE) for a relaxed structure of NaAcCdSn.

## Properties
Total DFT energy (no corrections), eV for the cell shown: -11.842
M_tot, μB/atom: 0.000
SG: F-43m
Formation energy from the elements, kJ/mol of formula units: -144.4

Unit cell a=5.588 b=5.588 c=5.588 alpha=60.00 beta=60.00 gamma=60.00
Fractional coordinates of all 4 atoms:
Sn  0.250  0.250  0.250
Cd  0.750  0.750  0.750
Ac  0.500  0.500  0.500
Na  0.000  0.000  0.000



[4]
Density functional theory data (PBE) for a relaxed structure of NaAc2Cd3Sn4.

## Properties
Total DFT energy (no corrections), eV for the cell shown: -31.761
M_tot, μB/atom: 0.000
SG: P-4m2
Formation energy from the elements, kJ/mol of formula units: -334.6

Unit cell a=4.849 b=4.849 c=12.407 alpha=90.00 beta=90.00 gamma=90.00
Fractional coordinates of all 10 atoms:
Na  0.500  0.500  0.500
Ac  0.000  0.500  0.757
Ac  0.500  0.000  0.243
Sn  0.000  0.000  0.000
Sn  0.500  0.000  0.645
Sn  0.500  0.500  0.000
Sn  0.000  0.500  0.355
Cd  0.000  0.500  0.134
Cd  0.500  0.000  0.866
Cd  0.000  0.000  0.500